No. 1
{"formula": "AlSiPb", "functional": "PBE-GGA", "state": "optimized geometry", "sg": "P-1", "crystal_system": "triclinic", "formation_energy_uncorrected_ev_per_atom": 0.19, "vol_a3_per_atom": 23.4, "lattice": [[3.636, -0.002, 0.006], [1.785, 3.745, 0.020], [0.023, 0.268, 10.327]], "species": ["Al", "Al", "Pb", "Pb", "Si", "Si"], "fractional_positions": [[0.930, 0.634, 0.676], [0.070, 0.366, 0.324], [0.342, 0.805, 0.120], [0.658, 0.195, 0.880], [0.228, 0.044, 0.577], [0.772, 0.956, 0.423]]}

***

No. 2
{"formula": "Ac4TlTe2Se", "functional": "PBE-GGA", "state": "optimized geometry", "sg": "P2/m", "crystal_system": "monoclinic", "formation_energy_uncorrected_ev_per_atom": -1.30, "vol_a3_per_atom": 37.0, "lattice": [[-0.252, -0.604, -4.624], [3.755, -7.327, 0.752], [-5.611, -5.767, 1.058]], "species": ["Te", "Te", "Ac", "Ac", "Ac", "Ac", "Tl", "Se"], "fractional_positions": [[0.500, 0.000, 0.500], [0.000, 0.000, 0.000], [0.500, 0.267, 0.743], [0.000, 0.261, 0.249], [0.500, 0.733, 0.257], [0.000, 0.739, 0.751], [0.500, 0.500, 0.000], [0.000, 0.500, 0.500]]}

***

- What is the formula in the second record?
  Ac4TlTe2Se

***

Copy entry 2 word for word.
{"formula": "Ac4TlTe2Se", "functional": "PBE-GGA", "state": "optimized geometry", "sg": "P2/m", "crystal_system": "monoclinic", "formation_energy_uncorrected_ev_per_atom": -1.30, "vol_a3_per_atom": 37.0, "lattice": [[-0.252, -0.604, -4.624], [3.755, -7.327, 0.752], [-5.611, -5.767, 1.058]], "species": ["Te", "Te", "Ac", "Ac", "Ac", "Ac", "Tl", "Se"], "fractional_positions": [[0.500, 0.000, 0.500], [0.000, 0.000, 0.000], [0.500, 0.267, 0.743], [0.000, 0.261, 0.249], [0.500, 0.733, 0.257], [0.000, 0.739, 0.751], [0.500, 0.500, 0.000], [0.000, 0.500, 0.500]]}

***

Copy entry 2 word for word.
{"formula": "Ac4TlTe2Se", "functional": "PBE-GGA", "state": "optimized geometry", "sg": "P2/m", "crystal_system": "monoclinic", "formation_energy_uncorrected_ev_per_atom": -1.30, "vol_a3_per_atom": 37.0, "lattice": [[-0.252, -0.604, -4.624], [3.755, -7.327, 0.752], [-5.611, -5.767, 1.058]], "species": ["Te", "Te", "Ac", "Ac", "Ac", "Ac", "Tl", "Se"], "fractional_positions": [[0.500, 0.000, 0.500], [0.000, 0.000, 0.000], [0.500, 0.267, 0.743], [0.000, 0.261, 0.249], [0.500, 0.733, 0.257], [0.000, 0.739, 0.751], [0.500, 0.500, 0.000], [0.000, 0.500, 0.500]]}